Crystalline CdCoO2 at its relaxed geometry, computed with GGA+U.

The structure in POSCAR format:
```
CdCoO2
1.0
5.780 0.000 0.000
0.000 3.107 0.000
0.000 0.000 11.539
Co O Cd
4 8 4
direct
0.431 0.250 0.396
0.069 0.750 0.896
0.569 0.750 0.604
0.931 0.250 0.104
0.749 0.250 0.508
0.751 0.750 0.008
0.251 0.750 0.492
0.249 0.250 0.992
0.458 0.250 0.697
0.042 0.750 0.197
0.542 0.750 0.303
0.958 0.250 0.803
0.086 0.250 0.626
0.414 0.750 0.126
0.914 0.750 0.374
0.586 0.250 0.874
```

## Properties
Its total DFT energy (no corrections) is -77.6 eV per cell. The value obtained for the density of states at the Fermi level is 0.8 states/eV/cell.